A geometry-optimized Cu2Cl5 structure. Source: OQMD, functional PBE.

Cell lengths 4.6215, 5.7775, 6.1177 Å; angles 93.29, 100.23, 106.94 degrees
With the nearest neighbours (Å) after each atom.
Positions (direct):
Cl 0.7985 0.2649 0.1476  2 Cu 2.24-2.36
Cl 0.5000 0.5000 0.5000  2 Cu 2.31
Cu 0.0000 0.0000 0.0000  4 Cl 2.19-2.24
Cl 0.1353 0.8767 0.3228  1 Cu 2.19
Cl 0.8647 0.1233 0.6772  1 Cu 2.19
Cl 0.2016 0.7351 0.8524  2 Cu 2.24-2.36
Cu 0.0000 0.5000 0.5000  6 Cl 2.31-2.45

=====

A geometry-optimized MgTlCoNi structure. Source: OQMD, functional PBE.

Summary:
E above lowest polymorph: 0 meV per atom

Cell lengths 4.3950, 4.3950, 4.3950 Å; angles 60.00, 60.00, 60.00 degrees
With the nearest neighbours (Å) after each atom.
Positions (direct):
Mg 0.5000 0.5000 0.5000  4 Ni 2.69, 4 Co 2.69
Co 0.7500 0.7500 0.7500  4 Tl 2.69, 4 Mg 2.69
Tl 0.0000 0.0000 0.0000  4 Co 2.69, 4 Ni 2.69
Ni 0.2500 0.2500 0.2500  4 Mg 2.69, 4 Tl 2.69

=====

A geometry-optimized Sm2S structure. Source: OQMD, functional PBE.

Cell lengths 6.1448, 6.1448, 6.1448 Å; angles 60.00, 60.00, 60.00 degrees
With the nearest neighbours (Å) after each atom.
Positions (direct):
Sm 0.6250 0.1250 0.6250  6 Sm 3.07
Sm 0.6250 0.6250 0.6250  6 Sm 3.07
Sm 0.6250 0.6250 0.1250  6 Sm 3.07
Sm 0.1250 0.6250 0.6250  6 Sm 3.07
S 0.2500 0.2500 0.2500  12 Sm 3.60, 4 S 3.76
S 0.0000 0.0000 0.0000  12 Sm 3.60, 4 S 3.76

=====

A geometry-optimized BiIr2 structure. Source: OQMD, functional PBE.

Summary:
E above lowest polymorph: 2602 meV per atom

Cell lengths 8.5430, 8.5430, 8.5430 Å; angles 60.00, 60.00, 60.00 degrees
With the nearest neighbours (Å) after each atom.
Positions (direct):
Ir 0.3750 0.3750 0.3750  2 Bi 2.62
Ir 0.8750 0.3750 0.3750  2 Bi 2.62
Ir 0.3750 0.8750 0.3750  2 Bi 2.62
Ir 0.3750 0.3750 0.8750  2 Bi 2.62
Bi 0.5000 0.5000 0.5000  4 Ir 2.62
Bi 0.2500 0.2500 0.2500  4 Ir 2.62

=====

Final energy: -18.71 -15.95 -26.62 -25.56 (eV per cell)